{
  "formula": "PPtW2",
  "functional": "PBE",
  "state": "relaxed",
  "delta_e_f_ev_per_atom": 0.01,
  "spacegroup": "Immm, No. 71",
  "dos_at_fermi_per_ev_atom": 0.612,
  "lattice_angstrom": [[-1.5331, 2.2642, 4.3534], [1.5331, -2.2642, 4.3534], [1.5331, 2.2642, -4.3534]],
  "species": ["P", "Pt", "W", "W"],
  "fractional_positions": [[0.0000, 0.0000, 0.0000], [0.5000, 0.5000, 0.0000], [0.2181, 0.7181, 0.5000], [0.7819, 0.2819, 0.5000]]
}